## Tb8HoMg6 (PBE)

Data for a geometry-optimized Tb8HoMg6 structure.

Unit cell a=9.113 b=9.113 c=8.339 alpha=56.88 beta=56.88 gamma=60.00
Element x y z (fractional)
Tb: 0.550 0.216 0.351
Tb: 0.784 0.117 0.649
Tb: 0.117 0.450 0.649
Tb: 0.666 0.666 0.001
Tb: 0.334 0.334 0.999
Tb: 0.883 0.550 0.351
Tb: 0.216 0.883 0.351
Tb: 0.450 0.784 0.649
Ho: 0.000 0.000 0.000
Mg: 0.381 0.048 0.857
Mg: 0.952 0.285 0.143
Mg: 0.285 0.619 0.143
Mg: 0.715 0.381 0.857
Mg: 0.048 0.715 0.857
Mg: 0.619 0.952 0.143

Summary:
Crystal system: trigonal
Size of the total moment: 0.00 μB per formula unit
ΔE_f: 0.19 eV/atom



## Tb2HoMg (PBE)

Data for a geometry-optimized Tb2HoMg structure.

Unit cell a=3.587 b=3.587 c=9.215 alpha=90.00 beta=90.00 gamma=90.00
Element x y z (fractional)
Mg: 0.500 0.500 0.000
Tb: 0.000 0.000 0.764
Tb: 0.000 0.000 0.236
Ho: 0.500 0.500 0.500

Summary:
Energy relative to the lowest polymorph listed for this composition: 0.000 eV per atom
Crystal system: tetragonal
Size of the total moment: 0.00 μB per formula unit
ΔE_f: -0.03 eV/atom



## Tb2Ho7Mg (PBE)

Data for a geometry-optimized Tb2Ho7Mg structure.

Unit cell a=5.309 b=9.254 c=9.254 alpha=124.38 beta=90.00 gamma=90.00
Element x y z (fractional)
Tb: 0.500 0.706 0.294
Tb: 0.500 0.294 0.706
Ho: 0.000 0.798 0.202
Ho: 0.000 0.202 0.798
Ho: 0.500 0.071 0.285
Ho: 0.500 0.929 0.715
Ho: 0.500 0.285 0.071
Ho: 0.500 0.715 0.929
Ho: 0.500 0.500 0.500
Mg: 0.000 0.000 0.000

Summary:
Crystal system: orthorhombic
Size of the total moment: 0.00 μB per formula unit
ΔE_f: 0.68 eV/atom



Please write out number 1 again, unchanged.
## Tb8HoMg6 (PBE)

Data for a geometry-optimized Tb8HoMg6 structure.

Unit cell a=9.113 b=9.113 c=8.339 alpha=56.88 beta=56.88 gamma=60.00
Element x y z (fractional)
Tb: 0.550 0.216 0.351
Tb: 0.784 0.117 0.649
Tb: 0.117 0.450 0.649
Tb: 0.666 0.666 0.001
Tb: 0.334 0.334 0.999
Tb: 0.883 0.550 0.351
Tb: 0.216 0.883 0.351
Tb: 0.450 0.784 0.649
Ho: 0.000 0.000 0.000
Mg: 0.381 0.048 0.857
Mg: 0.952 0.285 0.143
Mg: 0.285 0.619 0.143
Mg: 0.715 0.381 0.857
Mg: 0.048 0.715 0.857
Mg: 0.619 0.952 0.143

Summary:
Crystal system: trigonal
Size of the total moment: 0.00 μB per formula unit
ΔE_f: 0.19 eV/atom



Repeat the second record exactly.
## Tb2HoMg (PBE)

Data for a geometry-optimized Tb2HoMg structure.

Unit cell a=3.587 b=3.587 c=9.215 alpha=90.00 beta=90.00 gamma=90.00
Element x y z (fractional)
Mg: 0.500 0.500 0.000
Tb: 0.000 0.000 0.764
Tb: 0.000 0.000 0.236
Ho: 0.500 0.500 0.500

Summary:
Energy relative to the lowest polymorph listed for this composition: 0.000 eV per atom
Crystal system: tetragonal
Size of the total moment: 0.00 μB per formula unit
ΔE_f: -0.03 eV/atom



> Which value of size of the total moment does entry 2 give?

0.00 μB per formula unit